Density functional theory data (GGA-PBE) for MgZnNiB after structural relaxation.

```
MgZnNiB
1.0
0.000 2.887 2.887
2.887 0.000 2.887
2.887 2.887 0.000
Mg Zn Ni B
1 1 1 1
Cartesian
0.000 0.000 0.000
2.887 2.887 2.887
4.331 4.331 4.331
1.444 1.444 1.444
```

total moment = 0.0 μB/f.u.
energy = -13.480 eV for the cell shown
space-group type = F-43m